Below is CaSm4Eu after structural relaxation, with properties calculated at the PBE-GGA level.

Output
Energy of formation, eV/atom: 0.183
D(E_F), states/eV/atom: 2.524

The structure in CIF format:
```
data_CaSm4Eu
_symmetry_space_group_name_H-M 'F -4 3 m'
_symmetry_Int_Tables_number 216
_symmetry_space_group_name_Hall 'F -4 2 3'
_cell_length_a 9.709
_cell_length_b 9.709
_cell_length_c 9.709
_cell_angle_alpha 90.00
_cell_angle_beta 90.00
_cell_angle_gamma 90.00
loop_
_atom_site_label
_atom_site_type_symbol
_atom_site_fract_x
_atom_site_fract_y
_atom_site_fract_z
Ca1 Ca 0.000 0.000 0.000
Sm1 Sm 0.125 0.125 0.625
Eu1 Eu 0.250 0.250 0.250
```

Below is Tl2BiPbO4 after structural relaxation, with properties calculated at the PBE-GGA level.

Output
Formation energy (no corrections), meV/atom: -782
D(E_F), states/eV/atom: 0.350

The structure in CIF format:
```
data_Tl2BiPbO4
_symmetry_space_group_name_H-M 'P 1'
_symmetry_Int_Tables_number 1
_cell_length_a 6.047
_cell_length_b 6.048
_cell_length_c 6.700
_cell_angle_alpha 63.21
_cell_angle_beta 63.20
_cell_angle_gamma 89.95
loop_
_symmetry_equiv_pos_as_xyz
'x,y,z'
loop_
_atom_site_label
_atom_site_type_symbol
_atom_site_fract_x
_atom_site_fract_y
_atom_site_fract_z
Tl1 Tl 0.000 0.000 0.000
Tl2 Tl 0.250 0.750 0.500
Bi1 Bi 0.750 0.250 0.500
Pb1 Pb 0.500 0.500 0.000
O1 O 0.119 0.201 0.253
O2 O 0.453 0.882 0.747
O3 O 0.628 0.547 0.253
O4 O 0.800 0.372 0.746
```

Below is GdErLu after structural relaxation, with properties calculated at the PBE-GGA level.

Output
E above lowest polymorph, meV/atom: 42
Energy of formation, eV/atom: 0.071
D(E_F), states/eV/atom: 1.763

The structure in CIF format:
```
data_GdErLu
_symmetry_space_group_name_H-M 'P 3 m 1'
_symmetry_Int_Tables_number 156
_cell_length_a 5.5648
_cell_length_b 5.5648
_cell_length_c 3.4364
_cell_angle_alpha 90.00
_cell_angle_beta 90.00
_cell_angle_gamma 120.00
loop_
_symmetry_equiv_pos_as_xyz
'x,y,z'
'-y,x-y,z'
'-x+y,-x,z'
'-y,-x,z'
'-x+y,y,z'
'x,x-y,z'
loop_
_atom_site_label
_atom_site_type_symbol
_atom_site_fract_x
_atom_site_fract_y
_atom_site_fract_z
Gd1 Gd 0.0000 0.0000 0.0000
Er1 Er 0.3333 0.6667 0.5020
Lu1 Lu 0.6667 0.3333 0.0043
```

Below is NiHgBr after structural relaxation, with properties calculated at the PBE-GGA level.

Output
Formation energy (no corrections), meV/atom: -42
E above lowest polymorph, meV/atom: 2
D(E_F), states/eV/atom: 0.422

The structure in CIF format:
```
data_NiHgBr
_symmetry_space_group_name_H-M 'C 2 2 2'
_symmetry_Int_Tables_number 21
_cell_length_a 4.786
_cell_length_b 11.787
_cell_length_c 4.873
_cell_angle_alpha 90.00
_cell_angle_beta 90.00
_cell_angle_gamma 90.00
loop_
_symmetry_equiv_pos_as_xyz
'x,y,z'
'-x,-y,z'
'x,-y,-z'
'-x,y,-z'
'x+1/2,y+1/2,z'
'-x+1/2,-y+1/2,z'
'x+1/2,-y+1/2,-z'
'-x+1/2,y+1/2,-z'
loop_
_atom_site_label
_atom_site_type_symbol
_atom_site_fract_x
_atom_site_fract_y
_atom_site_fract_z
Ni1 Ni 0.000 0.107 0.000
Hg1 Hg 0.000 0.000 0.500
Hg2 Hg 0.000 0.500 0.000
Br1 Br 0.250 0.250 0.755
```

Below is CdPtSe2 after structural relaxation, with properties calculated at the PBE-GGA level.

Output
Formation energy (no corrections), meV/atom: -215
D(E_F), states/eV/atom: 0.011

The structure in CIF format:
```
data_CdPtSe2
_symmetry_space_group_name_H-M 'R -3 m'
_symmetry_Int_Tables_number 166
_symmetry_space_group_name_Hall '-R 3 2"'
_cell_length_a 3.7524
_cell_length_b 3.7524
_cell_length_c 26.5411
_cell_angle_alpha 90.00
_cell_angle_beta 90.00
_cell_angle_gamma 120.00
loop_
_atom_site_label
_atom_site_type_symbol
_atom_site_fract_x
_atom_site_fract_y
_atom_site_fract_z
Cd1 Cd 0.0000 0.0000 0.0000
Pt1 Pt 0.0000 0.0000 0.5000
Se1 Se 0.0000 0.0000 0.1169
```

Below is TiTlS3 after structural relaxation, with properties calculated at the PBE-GGA level.

Output
Formation energy (no corrections), meV/atom: -734
D(E_F), states/eV/atom: 0.626

The structure in CIF format:
```
data_TiTlS3
_symmetry_space_group_name_H-M 'P 1 21/m 1'
_symmetry_Int_Tables_number 11
_cell_length_a 3.497
_cell_length_b 9.435
_cell_length_c 6.664
_cell_angle_alpha 90.00
_cell_angle_beta 104.96
_cell_angle_gamma 90.00
loop_
_symmetry_equiv_pos_as_xyz
'x,y,z'
'-x,-y,-z'
'-x,y+1/2,-z'
'x,-y+1/2,z'
loop_
_atom_site_label
_atom_site_type_symbol
_atom_site_fract_x
_atom_site_fract_y
_atom_site_fract_z
Ti1 Ti 0.000 0.000 0.000
Tl1 Tl 0.266 0.250 0.531
S1 S 0.050 0.750 0.100
S2 S 0.376 0.548 0.750
```

Below is NpGaPbCl6 after structural relaxation, with properties calculated at the PBE-GGA level.

Output
Formation energy (no corrections), meV/atom: -1297
D(E_F), states/eV/atom: 0.905

The structure in CIF format:
```
data_NpGaPbCl6
_symmetry_space_group_name_H-M 'P -3 1 c'
_symmetry_Int_Tables_number 163
_symmetry_space_group_name_Hall '-P 3 2c'
_cell_length_a 7.3735
_cell_length_b 7.3735
_cell_length_c 12.7307
_cell_angle_alpha 90.00
_cell_angle_beta 90.00
_cell_angle_gamma 120.00
loop_
_atom_site_label
_atom_site_type_symbol
_atom_site_fract_x
_atom_site_fract_y
_atom_site_fract_z
Np1 Np 0.3333 0.6667 0.2500
Ga1 Ga 0.0000 0.0000 0.0000
Pb1 Pb 0.3333 0.6667 0.7500
Cl1 Cl 0.0185 0.3619 0.1308
```

Below is HfZnCl3 after structural relaxation, with properties calculated at the PBE-GGA level.

Output
Formation energy (no corrections), meV/atom: 14
E above lowest polymorph, meV/atom: 957
D(E_F), states/eV/atom: 1.215

The structure in CIF format:
```
data_HfZnCl3
_symmetry_space_group_name_H-M 'P m -3 m'
_symmetry_Int_Tables_number 221
_symmetry_space_group_name_Hall '-P 4 2 3'
_cell_length_a 4.860
_cell_length_b 4.860
_cell_length_c 4.860
_cell_angle_alpha 90.00
_cell_angle_beta 90.00
_cell_angle_gamma 90.00
loop_
_atom_site_label
_atom_site_type_symbol
_atom_site_fract_x
_atom_site_fract_y
_atom_site_fract_z
Hf1 Hf 0.000 0.000 0.000
Zn1 Zn 0.500 0.500 0.500
Cl1 Cl 0.000 0.500 0.500
```

Below is Al3HgAs after structural relaxation, with properties calculated at the PBE-GGA level.

Output
E above lowest polymorph, meV/atom: 166
Energy of formation, eV/atom: 0.683
D(E_F), states/eV/atom: 0.320

The structure in CIF format:
```
data_Al3HgAs
_symmetry_space_group_name_H-M 'P m -3 m'
_symmetry_Int_Tables_number 221
_symmetry_space_group_name_Hall '-P 4 2 3'
_cell_length_a 4.972
_cell_length_b 4.972
_cell_length_c 4.972
_cell_angle_alpha 90.00
_cell_angle_beta 90.00
_cell_angle_gamma 90.00
loop_
_atom_site_label
_atom_site_type_symbol
_atom_site_fract_x
_atom_site_fract_y
_atom_site_fract_z
Al1 Al 0.000 0.000 0.500
Hg1 Hg 0.000 0.000 0.000
As1 As 0.500 0.500 0.500
```

Below is LiNbAlAg2 after structural relaxation, with properties calculated at the PBE-GGA level.

Output
Energy of formation, eV/atom: 1.413
D(E_F), states/eV/atom: 0.909

The structure in CIF format:
```
data_LiNbAlAg2
_symmetry_space_group_name_H-M 'P 4/m m m'
_symmetry_Int_Tables_number 123
_symmetry_space_group_name_Hall '-P 4 2'
_cell_length_a 5.220
_cell_length_b 5.220
_cell_length_c 5.020
_cell_angle_alpha 90.00
_cell_angle_beta 90.00
_cell_angle_gamma 90.00
loop_
_atom_site_label
_atom_site_type_symbol
_atom_site_fract_x
_atom_site_fract_y
_atom_site_fract_z
Li1 Li 0.000 0.000 0.000
Nb1 Nb 0.000 0.000 0.500
Al1 Al 0.500 0.500 0.000
Ag1 Ag 0.000 0.500 0.500
```

Below is HgOs2 after structural relaxation, with properties calculated at the PBE-GGA level.

Output
E above lowest polymorph, meV/atom: 1108
Energy of formation, eV/atom: 1.504
D(E_F), states/eV/atom: 1.448

The structure in CIF format:
```
data_HgOs2
_symmetry_space_group_name_H-M 'P -6 2 m'
_symmetry_Int_Tables_number 189
_symmetry_space_group_name_Hall 'P -6 -2'
_cell_length_a 6.7211
_cell_length_b 6.7211
_cell_length_c 4.3792
_cell_angle_alpha 90.00
_cell_angle_beta 90.00
_cell_angle_gamma 120.00
loop_
_atom_site_label
_atom_site_type_symbol
_atom_site_fract_x
_atom_site_fract_y
_atom_site_fract_z
Hg1 Hg 0.0000 0.0000 0.0000
Hg2 Hg 0.3333 0.6667 0.5000
Os1 Os 0.0000 0.2241 0.5000
Os2 Os 0.0000 0.4266 0.0000
```

Below is ScMoRu2C after structural relaxation, with properties calculated at the PBE-GGA level.

Output
E above lowest polymorph, meV/atom: 2245
Energy of formation, eV/atom: 2.127
D(E_F), states/eV/atom: 1.811

The structure in CIF format:
```
data_ScMoRu2C
_symmetry_space_group_name_H-M 'P 4/m m m'
_symmetry_Int_Tables_number 123
_symmetry_space_group_name_Hall '-P 4 2'
_cell_length_a 4.624
_cell_length_b 4.624
_cell_length_c 3.974
_cell_angle_alpha 90.00
_cell_angle_beta 90.00
_cell_angle_gamma 90.00
loop_
_atom_site_label
_atom_site_type_symbol
_atom_site_fract_x
_atom_site_fract_y
_atom_site_fract_z
Sc1 Sc 0.000 0.000 0.000
Mo1 Mo 0.500 0.500 0.500
Ru1 Ru 0.000 0.500 0.000
C1 C 0.000 0.000 0.500
```